The following is a DFT calculation (PBE with a Hubbard U) of a relaxed NpCrBi2O6 crystal.

Lattice parameters (Å, degrees): 5.6743 5.6743 6.1899 120.01 120.01 60.35
Fractional coordinates of all 10 atoms:
Np: 0.0000 0.0000 0.0000
Cr: 0.5000 0.5000 0.5000
Bi: 0.2532 0.2532 0.7141
Bi: 0.7468 0.7468 0.2859
O: 0.1810 0.6712 0.6548
O: 0.2572 0.2572 0.1605
O: 0.3288 0.8190 0.3452
O: 0.6712 0.1810 0.6548
O: 0.7428 0.7428 0.8395
O: 0.8190 0.3288 0.3452

Values from the calculation:
VASP energy in eV per atom: -7.5272
Total moment in μB/f.u.: 6.2